1.
The following is a DFT calculation (PBE-GGA) of a geometry-optimized Nd2PaGe4Pt3 structure.

Cell: 4.327 4.327 11.406 Å, 90.00 90.00 90.00°
Fractional positions:
Nd (0.000, 0.500, 0.224)
Nd (0.500, 0.000, 0.776)
Pa (0.000, 0.000, 0.500)
Ge (0.000, 0.000, 0.000)
Ge (0.000, 0.500, 0.666)
Ge (0.500, 0.000, 0.334)
Ge (0.500, 0.500, 0.000)
Pt (0.000, 0.500, 0.885)
Pt (0.500, 0.000, 0.115)
Pt (0.500, 0.500, 0.500)

Computed properties:
The value obtained for the formation energy from the elements is -0.780 eV per atom. As for the crystal system: tetragonal.



2.
The following is a DFT calculation (PBE-GGA) of a geometry-optimized AlCuAs structure.

Cell: 5.158 5.158 5.158 Å, 148.15 138.57 53.18°
Fractional positions:
Al (0.000, 0.000, 0.000)
Cu (0.357, 0.357, 0.000)
As (0.691, 0.691, 0.000)

Computed properties:
The relative energy among the computed polymorphs is 185 meV/atom. The value obtained for the formation energy from the elements is 0.125 eV per atom. As for the crystal system: orthorhombic.



3.
The following is a DFT calculation (PBE-GGA) of a geometry-optimized Tl2CdRe structure.

Cell: 5.441 5.441 5.441 Å, 133.12 133.12 68.47°
Fractional positions:
Tl (0.250, 0.750, 0.500)
Tl (0.750, 0.250, 0.500)
Cd (0.000, 0.000, 0.000)
Re (0.500, 0.500, 0.000)

Computed properties:
The relative energy among the computed polymorphs is 272 meV/atom. The value obtained for the formation energy from the elements is 0.923 eV per atom. As for the crystal system: tetragonal.



4.
The following is a DFT calculation (PBE-GGA) of a geometry-optimized CaB2Ir2 structure.

Cell: 7.108 6.152 5.527 Å, 74.77 56.62 48.61°
Fractional positions:
Ca (0.125, 0.125, 0.125)
Ca (0.875, 0.875, 0.875)
B (0.197, 0.553, 0.197)
B (0.447, 0.803, 0.447)
B (0.553, 0.197, 0.553)
B (0.803, 0.447, 0.803)
Ir (0.245, 0.245, 0.505)
Ir (0.495, 0.495, 0.755)
Ir (0.505, 0.505, 0.245)
Ir (0.755, 0.755, 0.495)

Computed properties:
The value obtained for the formation energy from the elements is -0.673 eV per atom. As for the crystal system: orthorhombic.



5.
The following is a DFT calculation (PBE-GGA) of a geometry-optimized La2Cd15Sn2 structure.

Cell: 7.753 7.753 7.753 Å, 84.72 84.72 84.72°
Fractional positions:
La (0.171, 0.171, 0.171)
La (0.829, 0.829, 0.829)
Cd (0.000, 0.500, 0.500)
Cd (0.147, 0.147, 0.673)
Cd (0.147, 0.673, 0.147)
Cd (0.185, 0.500, 0.815)
Cd (0.185, 0.815, 0.500)
Cd (0.327, 0.853, 0.853)
Cd (0.500, 0.000, 0.500)
Cd (0.500, 0.185, 0.815)
Cd (0.500, 0.500, 0.000)
Cd (0.500, 0.815, 0.185)
Cd (0.673, 0.147, 0.147)
Cd (0.815, 0.185, 0.500)
Cd (0.815, 0.500, 0.185)
Cd (0.853, 0.327, 0.853)
Cd (0.853, 0.853, 0.327)
Sn (0.399, 0.399, 0.399)
Sn (0.601, 0.601, 0.601)

Computed properties:
The value obtained for the formation energy from the elements is -0.171 eV per atom. As for the crystal system: trigonal.



6.
The following is a DFT calculation (PBE-GGA) of a geometry-optimized Ba2Cd3Sn2 structure.

Cell: 6.661 6.661 7.591 Å, 109.72 109.72 45.02°
Fractional positions:
Ba (0.148, 0.148, 0.268)
Ba (0.852, 0.852, 0.732)
Cd (0.406, 0.406, 0.076)
Cd (0.500, 0.500, 0.500)
Cd (0.594, 0.594, 0.924)
Sn (0.154, 0.154, 0.763)
Sn (0.846, 0.846, 0.237)

Computed properties:
The value obtained for the formation energy from the elements is -0.419 eV per atom. As for the crystal system: monoclinic.



7.
The following is a DFT calculation (PBE-GGA) of a geometry-optimized LaTc2NiAu structure.

Cell: 4.973 4.973 5.549 Å, 90.00 90.00 90.00°
Fractional positions:
La (0.000, 0.000, 0.000)
Tc (0.000, 0.500, 0.500)
Tc (0.500, 0.000, 0.500)
Ni (0.500, 0.500, 0.000)
Au (0.000, 0.000, 0.500)

Computed properties:
The value obtained for the formation energy from the elements is 1.672 eV per atom. As for the crystal system: tetragonal.



8.
The following is a DFT calculation (PBE-GGA) of a geometry-optimized ReAs structure.

Cell: 2.844 2.844 10.160 Å, 90.00 90.00 119.58°
Fractional positions:
Re (0.250, 0.750, 0.892)
Re (0.750, 0.250, 0.108)
As (0.250, 0.750, 0.326)
As (0.750, 0.250, 0.674)

Computed properties:
The relative energy among the computed polymorphs is 320 meV/atom. The value obtained for the formation energy from the elements is 0.395 eV per atom. As for the crystal system: orthorhombic.



9.
The following is a DFT calculation (PBE-GGA) of a geometry-optimized Sr3FeW structure.

Cell: 5.765 5.765 5.765 Å, 90.00 90.00 90.00°
Fractional positions:
Sr (0.000, 0.000, 0.500)
Sr (0.000, 0.500, 0.000)
Sr (0.500, 0.000, 0.000)
Fe (0.500, 0.500, 0.500)
W (0.000, 0.000, 0.000)

Computed properties:
The relative energy among the computed polymorphs is 445 meV/atom. The value obtained for the formation energy from the elements is 1.857 eV per atom. As for the crystal system: cubic.



10.
The following is a DFT calculation (PBE-GGA) of a geometry-optimized Na2Ac2PdO6 structure.

Cell: 6.254 6.254 5.888 Å, 95.54 95.54 120.27°
Fractional positions:
Na (0.122, 0.878, 0.000)
Na (0.878, 0.122, 0.000)
Ac (0.339, 0.661, 0.500)
Ac (0.661, 0.339, 0.500)
Pd (0.000, 0.000, 0.500)
O (0.025, 0.321, 0.688)
O (0.234, 0.234, 0.290)
O (0.321, 0.025, 0.688)
O (0.679, 0.975, 0.312)
O (0.766, 0.766, 0.710)
O (0.975, 0.679, 0.312)

Computed properties:
For the energy relative to the elements, uncorrected, the calculation gives -1934 meV/atom. As for the crystal system: monoclinic.



11.
The following is a DFT calculation (PBE-GGA) of a geometry-optimized NiRhS2N structure.

Cell: 4.625 4.625 3.335 Å, 90.00 90.00 90.00°
Fractional positions:
Ni (0.000, 0.000, 0.000)
Rh (0.500, 0.500, 0.500)
S (0.000, 0.500, 0.000)
S (0.500, 0.000, 0.000)
N (0.000, 0.000, 0.500)

Computed properties:
The relative energy among the computed polymorphs is 0 meV/atom. For the energy relative to the elements, uncorrected, the calculation gives 787 meV/atom. As for the crystal system: tetragonal.



12.
The following is a DFT calculation (PBE-GGA) of a geometry-optimized RbCoN2 structure.

Cell: 7.235 7.235 7.235 Å, 32.21 32.21 32.21°
Fractional positions:
Rb (0.000, 0.000, 0.000)
Co (0.500, 0.500, 0.500)
N (0.421, 0.421, 0.421)
N (0.579, 0.579, 0.579)

Computed properties:
The relative energy among the computed polymorphs is 948 meV/atom. For the energy relative to the elements, uncorrected, the calculation gives 1253 meV/atom. As for the crystal system: trigonal.



13.
The following is a DFT calculation (PBE-GGA) of a geometry-optimized LiCa2CrIr structure.

Cell: 5.561 5.561 4.742 Å, 90.00 90.00 90.00°
Fractional positions:
Li (0.000, 0.000, 0.000)
Ca (0.000, 0.500, 0.500)
Ca (0.500, 0.000, 0.500)
Cr (0.500, 0.500, 0.000)
Ir (0.500, 0.500, 0.500)

Computed properties:
The value obtained for the formation energy from the elements is 0.177 eV per atom. As for the crystal system: tetragonal.



14.
The following is a DFT calculation (PBE-GGA) of a geometry-optimized La2NbCu3Ni12 structure.

Cell: 9.199 9.199 9.199 Å, 38.91 38.91 38.91°
Fractional positions:
La (0.152, 0.152, 0.152)
La (0.848, 0.848, 0.848)
Nb (0.500, 0.500, 0.500)
Cu (0.000, 0.500, 0.500)
Cu (0.500, 0.000, 0.500)
Cu (0.500, 0.500, 0.000)
Ni (0.079, 0.079, 0.693)
Ni (0.079, 0.693, 0.079)
Ni (0.140, 0.571, 0.571)
Ni (0.307, 0.921, 0.921)
Ni (0.429, 0.429, 0.860)
Ni (0.429, 0.860, 0.429)
Ni (0.571, 0.140, 0.571)
Ni (0.571, 0.571, 0.140)
Ni (0.693, 0.079, 0.079)
Ni (0.860, 0.429, 0.429)
Ni (0.921, 0.307, 0.921)
Ni (0.921, 0.921, 0.307)

Computed properties:
The value obtained for the formation energy from the elements is 0.226 eV per atom. As for the crystal system: trigonal.



15.
The following is a DFT calculation (PBE-GGA) of a geometry-optimized AcLa6Pm2Er structure.

Cell: 6.813 6.813 10.112 Å, 112.43 112.43 60.40°
Fractional positions:
Ac (0.000, 0.000, 0.000)
La (0.082, 0.538, 0.668)
La (0.353, 0.353, 0.078)
La (0.462, 0.918, 0.332)
La (0.538, 0.082, 0.668)
La (0.647, 0.647, 0.922)
La (0.918, 0.462, 0.332)
Pm (0.066, 0.066, 0.689)
Pm (0.934, 0.934, 0.311)
Er (0.500, 0.500, 0.500)

Computed properties:
The value obtained for the formation energy from the elements is 0.176 eV per atom. As for the crystal system: monoclinic.



16.
The following is a DFT calculation (PBE-GGA) of a geometry-optimized BSbAsSe2 structure.

Cell: 4.524 4.524 4.574 Å, 90.00 90.00 90.00°
Fractional positions:
B (0.000, 0.000, 0.000)
Sb (0.500, 0.500, 0.500)
As (0.000, 0.000, 0.500)
Se (0.000, 0.500, 0.000)
Se (0.500, 0.000, 0.000)

Computed properties:
The relative energy among the computed polymorphs is 0 meV/atom. For the energy relative to the elements, uncorrected, the calculation gives 576 meV/atom. As for the crystal system: tetragonal.



17.
The following is a DFT calculation (PBE-GGA) of a geometry-optimized GaSiCl2 structure.

Cell: 9.499 9.499 9.499 Å, 20.99 20.99 20.99°
Fractional positions:
Ga (0.000, 0.000, 0.000)
Si (0.500, 0.500, 0.500)
Cl (0.102, 0.102, 0.102)
Cl (0.898, 0.898, 0.898)

Computed properties:
The relative energy among the computed polymorphs is 0 meV/atom. For the energy relative to the elements, uncorrected, the calculation gives -60 meV/atom. As for the crystal system: trigonal.



18.
The following is a DFT calculation (PBE-GGA) of a geometry-optimized Pr6Y8Pu structure.

Cell: 8.762 8.762 8.762 Å, 63.04 63.04 63.04°
Fractional positions:
Pr (0.046, 0.726, 0.603)
Pr (0.274, 0.397, 0.954)
Pr (0.397, 0.954, 0.274)
Pr (0.603, 0.046, 0.726)
Pr (0.726, 0.603, 0.046)
Pr (0.954, 0.274, 0.397)
Y (0.077, 0.077, 0.077)
Y (0.211, 0.258, 0.611)
Y (0.258, 0.611, 0.211)
Y (0.389, 0.789, 0.742)
Y (0.611, 0.211, 0.258)
Y (0.742, 0.389, 0.789)
Y (0.789, 0.742, 0.389)
Y (0.923, 0.923, 0.923)
Pu (0.500, 0.500, 0.500)

Computed properties:
The value obtained for the formation energy from the elements is 0.113 eV per atom. As for the crystal system: trigonal.



Quick rundown of total magnetization, same order as above: 0.0020, 0.0000, 0.2349, 0.0000, 0.0000, 0.0000, 1.0930, 0.0000, 0.0916, 0.0000, 0.1003, 0.0338, 0.7169, 0.0000, 0.0006, 0.0000, 0.0000, 0.4391 μB/atom